DFT (GGA-PBE) results for a relaxed Ta2FeAu crystal.

POSCAR file:
```
Ta2FeAu
1.0
-1.482 3.610 -0.128
-1.860 -0.687 2.150
2.355 1.161 5.457
Au Fe Ta
1 1 2
direct
0.500 0.250 0.250
0.500 0.750 0.750
0.000 0.962 0.975
0.000 0.538 0.525
```

Space group ... P2/m, No. 10
Energy of formation from the pure elements ... 0.01 eV per atom
Fermi-level density of states ... 0.87 states/eV/atom
Calculated total energy ... -8.85 eV/atom
Polymorph energy (0 for the lowest one) ... 38 meV/atom
Volume ... 64.26 Å³/cell
Total magnetization ... 0.0 Bohr magnetons per cell

DFT (GGA-PBE) results for a relaxed CaEuGdSn crystal.

POSCAR file:
```
CaEuGdSn
1.0
-3.338 -4.322 -1.191
-2.251 -3.015 4.134
-5.482 0.334 1.037
Eu Ca Gd Sn
1 1 1 1
direct
0.000 0.000 0.000
0.750 0.750 0.750
0.500 0.500 0.500
0.250 0.250 0.250
```

Space group ... F-43m, No. 216
Energy of formation from the pure elements ... -0.27 eV per atom
Fermi-level density of states ... 1.09 states/eV/atom
Calculated total energy ... -7.86 eV/atom
Volume ... 123.47 Å³/cell
Total magnetization ... 0.0 Bohr magnetons per cell

DFT (GGA-PBE) results for a relaxed Sr2ReBr crystal.

POSCAR file:
```
Sr2ReBr
1.0
6.940 -0.020 0.000
4.096 5.602 0.000
-5.518 -2.791 3.150
Re Br Sr
1 1 2
direct
0.750 0.250 0.500
0.500 0.500 0.000
0.000 0.000 0.000
0.250 0.750 0.500
```

Space group ... I-4m2, No. 119
Fermi-level density of states ... 1.19 states/eV/atom
Formation energy from raw total energies ... 501 meV/atom
Calculated total energy ... -3.87 eV/atom
Polymorph energy (0 for the lowest one) ... 475 meV/atom
Volume ... 122.72 Å³/cell
Total magnetization ... 2.3 Bohr magnetons per cell

DFT (GGA-PBE) results for a relaxed In12Pb5Au3 crystal.

POSCAR file:
```
In12Pb5Au3
1.0
-7.980 3.859 11.913
-8.600 0.508 -12.095
5.215 -13.788 1.790
Au Pb In
12 20 48
direct
0.750 0.375 0.125
0.875 0.750 0.125
0.375 0.750 0.625
0.250 0.125 0.375
0.875 0.125 0.250
0.375 0.625 0.250
0.625 0.375 0.750
0.125 0.875 0.750
0.750 0.875 0.625
0.625 0.250 0.375
0.125 0.250 0.875
0.250 0.625 0.875
0.125 0.375 0.250
0.000 0.500 0.000
0.000 0.000 0.000
0.375 0.250 0.125
0.500 0.000 0.500
0.500 0.500 0.000
0.125 0.750 0.375
0.750 0.125 0.875
0.750 0.625 0.375
0.375 0.125 0.750
0.625 0.875 0.250
0.500 0.500 0.500
0.500 0.000 0.000
0.000 0.000 0.500
0.250 0.375 0.625
0.250 0.875 0.125
0.000 0.500 0.500
0.875 0.250 0.625
0.625 0.750 0.875
0.875 0.625 0.750
0.741 0.132 0.072
0.330 0.572 0.440
0.928 0.368 0.259
0.572 0.241 0.132
0.609 0.741 0.670
0.928 0.560 0.170
0.330 0.759 0.391
0.060 0.891 0.132
0.560 0.928 0.670
0.741 0.609 0.170
0.759 0.428 0.368
0.830 0.940 0.072
0.132 0.741 0.572
0.368 0.440 0.109
0.109 0.940 0.368
0.391 0.132 0.560
0.109 0.170 0.241
0.428 0.670 0.060
0.830 0.891 0.259
0.132 0.391 0.060
0.368 0.928 0.759
0.560 0.632 0.391
0.940 0.830 0.572
0.759 0.330 0.891
0.440 0.368 0.609
0.060 0.170 0.428
0.241 0.670 0.109
0.170 0.109 0.741
0.632 0.072 0.241
0.868 0.609 0.940
0.572 0.330 0.940
0.609 0.868 0.440
0.891 0.830 0.759
0.891 0.060 0.632
0.868 0.259 0.428
0.170 0.060 0.928
0.632 0.560 0.891
0.440 0.072 0.330
0.259 0.391 0.830
0.241 0.572 0.632
0.940 0.109 0.868
0.670 0.241 0.609
0.428 0.759 0.868
0.072 0.440 0.830
0.391 0.259 0.330
0.072 0.632 0.741
0.670 0.428 0.560
0.259 0.868 0.928
```

Space group ... Ia-3d, No. 230
Energy of formation from the pure elements ... 0.10 eV per atom
Fermi-level density of states ... 0.38 states/eV/atom
Calculated total energy ... -2.96 eV/atom
Volume ... 2520.59 Å³/cell
Total magnetization ... 0.0 Bohr magnetons per cell